Entry 1:
The following is a PBE calculation of ZrSnBr6 after structural relaxation, from Alexandria.

Cell lengths 7.0388, 12.8998, 7.0091 Å; angles 90.00, 107.01, 90.00 degrees
Space group C2/m (No. 12)
Symmetry-distinct sites (fractional):
Zr  0.0000  0.0000  0.0000
Sn  0.0000  0.5000  0.5000
Br  0.2218  0.1459  0.2298
Br  0.2406  0.0000  0.7730

formation energy from raw total energies	-1.126	eV/atom
crystal system	monoclinic
M_tot	0.00	μB per formula unit

Entry 2:
The following is a PBE calculation of LiCrIn2 after structural relaxation, from Alexandria.

Cell lengths 3.3454, 3.4133, 6.6177 Å; angles 90.00, 90.00, 90.00 degrees
Space group Pmmm (No. 47)
Symmetry-distinct sites (fractional):
Li  0.0000  0.0000  0.0000
Cr  0.0000  0.0000  0.5000
In  0.5000  0.5000  0.2482

crystal system	orthorhombic
formation energy from the elements	0.05	eV per atom
M_tot	3.57	μB per formula unit

Entry 3:
The following is a PBE calculation of SmPa5 after structural relaxation, from Alexandria.

Cell lengths 4.6612, 14.1910, 4.6955 Å; angles 90.00, 90.00, 90.00 degrees
Space group Cmmm (No. 65)
Symmetry-distinct sites (fractional):
Sm  0.0000  0.0000  0.0000
Pa  0.0000  0.1676  0.5000
Pa  0.0000  0.3307  0.0000
Pa  0.0000  0.5000  0.5000

crystal system	orthorhombic
formation energy from the elements	0.14	eV per atom
M_tot	0.00	μB per formula unit

Entry 4:
The following is a PBE calculation of TbTm7 after structural relaxation, from Alexandria.

Cell lengths 9.8681, 9.8681, 9.8681 Å; angles 90.00, 90.00, 90.00 degrees
Space group Fm-3m (No. 225)
Symmetry-distinct sites (fractional):
Tb  0.0000  0.0000  0.0000
Tm  0.0000  0.0000  0.5000
Tm  0.0000  0.2500  0.2500

crystal system	cubic
formation energy from the elements	0.03	eV per atom
M_tot	0.00	μB per formula unit

Entry 5:
The following is a PBE calculation of ThVOs after structural relaxation, from Alexandria.

Cell lengths 4.0681, 14.0968, 4.3861 Å; angles 90.00, 90.00, 90.00 degrees
Space group Cmcm (No. 63)
Symmetry-distinct sites (fractional):
Th  0.0000  0.0826  0.2500
V  0.0000  0.2501  0.7500
Os  0.0000  0.3444  0.2500

crystal system	orthorhombic
formation energy from the elements	-0.04	eV per atom
M_tot	0.00	μB per formula unit

Entry 6:
The following is a PBE calculation of LaTl2Zn after structural relaxation, from Alexandria.

Cell lengths 4.7576, 4.7576, 4.7626 Å; angles 90.00, 90.00, 90.00 degrees
Space group P4/mmm (No. 123)
Symmetry-distinct sites (fractional):
La  0.0000  0.0000  0.0000
Tl  0.0000  0.5000  0.5000
Zn  0.5000  0.5000  0.0000

crystal system	tetragonal
formation energy from the elements	-0.25	eV per atom
M_tot	0.00	μB per formula unit

Entry 7:
The following is a PBE calculation of Cs4Au2F after structural relaxation, from Alexandria.

Cell lengths 5.7805, 5.7805, 18.9536 Å; angles 90.00, 90.00, 90.00 degrees
Space group I4/mmm (No. 139)
Symmetry-distinct sites (fractional):
Cs  0.0000  0.0000  0.1742
Cs  0.0000  0.5000  0.0000
Au  0.0000  0.0000  0.3693
F  0.0000  0.0000  0.0000

formation energy from raw total energies	-0.933	eV/atom
crystal system	tetragonal
M_tot	0.00	μB per formula unit

Entry 8:
The following is a PBE calculation of KTe2Se6 after structural relaxation, from Alexandria.

Cell lengths 5.5573, 7.1526, 8.1490 Å; angles 68.89, 87.29, 89.80 degrees
Space group P1 (No. 1)
Symmetry-distinct sites (fractional):
K  0.0000  0.0000  0.0000
Te  0.4791  0.3460  0.3462
Te  0.5192  0.6546  0.6533
Se  0.1730  0.9655  0.4300
Se  0.2050  0.5500  0.0026
Se  0.3338  0.3073  0.6708
Se  0.6636  0.6937  0.3282
Se  0.7932  0.4498  0.9967
Se  0.8254  0.0349  0.5698

formation energy from raw total energies	-0.151	eV/atom
crystal system	triclinic
M_tot	0.00	μB per formula unit

Entry 9:
The following is a PBE calculation of La3Pm2Ga4 after structural relaxation, from Alexandria.

Cell lengths 12.0794, 4.6386, 10.0472 Å; angles 90.00, 117.71, 90.00 degrees
Space group C2/m (No. 12)
Symmetry-distinct sites (fractional):
La  0.0000  0.0000  0.0000
La  0.1419  0.5000  0.6975
Pm  0.1521  0.5000  0.3155
Ga  0.0651  0.0000  0.4226
Ga  0.2061  0.5000  0.0387

crystal system	monoclinic
formation energy from the elements	-0.46	eV per atom
M_tot	0.00	μB per formula unit

Entry 10:
The following is a PBE calculation of Sr2Cd4InHg3 after structural relaxation, from Alexandria.

Cell lengths 4.6616, 4.6616, 12.7884 Å; angles 90.00, 90.00, 90.00 degrees
Space group P-4m2 (No. 115)
Symmetry-distinct sites (fractional):
Sr  0.0000  0.5000  0.2488
Cd  0.0000  0.0000  0.0000
Cd  0.0000  0.5000  0.6387
Cd  0.5000  0.5000  0.0000
In  0.0000  0.0000  0.5000
Hg  0.0000  0.5000  0.8582
Hg  0.5000  0.5000  0.5000

crystal system	tetragonal
formation energy from the elements	-0.30	eV per atom
M_tot	0.00	μB per formula unit

Entry 11:
The following is a PBE calculation of K2NaBiF after structural relaxation, from Alexandria.

Cell lengths 5.7907, 5.7907, 4.4410 Å; angles 90.00, 90.00, 90.00 degrees
Space group P4/mmm (No. 123)
Symmetry-distinct sites (fractional):
K  0.0000  0.5000  0.0000
Na  0.0000  0.0000  0.5000
Bi  0.5000  0.5000  0.5000
F  0.0000  0.0000  0.0000

formation energy from raw total energies	-1.215	eV/atom
crystal system	tetragonal
M_tot	0.00	μB per formula unit

Entry 12:
The following is a PBE calculation of HfZr3Tc2 after structural relaxation, from Alexandria.

Cell lengths 3.3219, 3.3219, 10.5831 Å; angles 90.00, 90.00, 90.00 degrees
Space group P4/mmm (No. 123)
Symmetry-distinct sites (fractional):
Hf  0.0000  0.0000  0.0000
Zr  0.5000  0.5000  0.1963
Zr  0.5000  0.5000  0.5000
Tc  0.0000  0.0000  0.3404

crystal system	tetragonal
formation energy from the elements	-0.25	eV per atom
M_tot	0.00	μB per formula unit

Entry 13:
The following is a PBE calculation of K3HfTi3Se8 after structural relaxation, from Alexandria.

Cell lengths 13.0734, 7.5491, 8.9657 Å; angles 90.00, 119.13, 90.00 degrees
Space group C2/m (No. 12)
Symmetry-distinct sites (fractional):
K  0.0000  0.0000  0.0000
K  0.2500  0.2500  0.0000
Hf  0.0000  0.0000  0.5000
Ti  0.0000  0.5000  0.5000
Ti  0.2500  0.2500  0.5000
Se  0.0208  0.2560  0.3065
Se  0.2299  0.5000  0.6898
Se  0.2352  0.0000  0.6936

formation energy from raw total energies	-1.254	eV/atom
crystal system	monoclinic
M_tot	2.89	μB per formula unit

Entry 14:
The following is a PBE calculation of LiGaSiAg after structural relaxation, from Alexandria.

Cell lengths 6.3867, 6.3867, 6.3867 Å; angles 90.00, 90.00, 90.00 degrees
Space group F-43m (No. 216)
Symmetry-distinct sites (fractional):
Li  0.0000  0.0000  0.0000
Ga  0.2500  0.2500  0.7500
Si  0.0000  0.0000  0.5000
Ag  0.2500  0.2500  0.2500

formation energy from raw total energies	0.007	eV/atom
crystal system	cubic
M_tot	0.00	μB per formula unit

Entry 15:
The following is a PBE calculation of LiMgAg2 after structural relaxation, from Alexandria.

Cell lengths 3.9894, 4.1110, 8.5182 Å; angles 90.00, 90.00, 90.00 degrees
Space group Imm2 (No. 44)
Symmetry-distinct sites (fractional):
Li  0.0000  0.0000  0.0000
Mg  0.0000  0.5000  0.7511
Ag  0.0000  0.0000  0.5019
Ag  0.0000  0.5000  0.2531

crystal system	orthorhombic
formation energy from the elements	-0.22	eV per atom
M_tot	0.00	μB per formula unit

Entry 16:
The following is a PBE calculation of Ho2CdCo after structural relaxation, from Alexandria.

Cell lengths 3.7381, 3.7381, 28.6707 Å; angles 90.00, 90.00, 120.00 degrees
Space group R-3m (No. 166, hexagonal axes)
Symmetry-distinct sites (fractional):
Ho  0.0000  0.0000  0.1155
Cd  0.0000  0.0000  0.0000
Co  0.0000  0.0000  0.5000

crystal system	trigonal
formation energy from the elements	0.04	eV per atom
M_tot	0.00	μB per formula unit

Entry 17:
The following is a PBE calculation of Si2HgW after structural relaxation, from Alexandria.

Cell lengths 8.5446, 3.1733, 5.2292 Å; angles 90.00, 96.02, 90.00 degrees
Space group C2/m (No. 12)
Symmetry-distinct sites (fractional):
Si  0.2243  0.0000  0.1673
Hg  0.0000  0.0000  0.5000
W  0.0000  0.5000  0.0000

formation energy from raw total energies	0.393	eV/atom
crystal system	monoclinic
M_tot	0.00	μB per formula unit

Entry 18:
The following is a PBE calculation of Pm4Y2Th after structural relaxation, from Alexandria.

Cell lengths 6.7974, 11.5931, 12.2180 Å; angles 90.00, 90.00, 90.00 degrees
Space group Imma (No. 74)
Symmetry-distinct sites (fractional):
Pm  0.0000  0.0036  0.1520
Pm  0.2221  0.2500  0.9894
Y  0.0000  0.0000  0.5000
Y  0.0000  0.2500  0.7206
Th  0.2500  0.2500  0.2500

crystal system	orthorhombic
formation energy from the elements	0.30	eV per atom
M_tot	0.00	μB per formula unit

Entry 19:
The following is a PBE calculation of Ti3RuCl after structural relaxation, from Alexandria.

Cell lengths 4.7988, 4.7988, 4.7988 Å; angles 90.00, 90.00, 90.00 degrees
Space group Pm-3m (No. 221)
Symmetry-distinct sites (fractional):
Ti  0.0000  0.0000  0.5000
Ru  0.0000  0.0000  0.0000
Cl  0.5000  0.5000  0.5000

formation energy from raw total energies	0.396	eV/atom
crystal system	cubic
M_tot	2.37	μB per formula unit

Entry 20:
The following is a PBE calculation of AcIn3Cu8 after structural relaxation, from Alexandria.

Cell lengths 5.0786, 5.0786, 9.2045 Å; angles 90.00, 90.00, 120.00 degrees
Space group P3m1 (No. 156)
Symmetry-distinct sites (fractional):
Ac  0.0000  0.0000  0.0000
In  0.0000  0.0000  0.3704
In  0.6667  0.3333  0.4863
In  0.6667  0.3333  0.8177
Cu  0.1647  0.3294  0.6590
Cu  0.3333  0.6667  0.4324
Cu  0.3333  0.6667  0.8862
Cu  0.5006  0.0012  0.2069

crystal system	trigonal
formation energy from the elements	-0.04	eV per atom
M_tot	0.00	μB per formula unit

Entry 21:
The following is a PBE calculation of Al2SiSe after structural relaxation, from Alexandria.

Cell lengths 4.6315, 4.6411, 6.4617 Å; angles 90.00, 90.00, 90.00 degrees
Space group Cmmm (No. 65)
Symmetry-distinct sites (fractional):
Al  0.0000  0.0000  0.2405
Si  0.0000  0.5000  0.0000
Se  0.0000  0.5000  0.5000

formation energy from raw total energies	0.127	eV/atom
crystal system	orthorhombic
M_tot	0.00	μB per formula unit

Entry 22:
The following is a PBE calculation of LiLa2TaIn after structural relaxation, from Alexandria.

Cell lengths 5.5856, 5.5856, 5.5662 Å; angles 90.00, 90.00, 90.00 degrees
Space group P4/mmm (No. 123)
Symmetry-distinct sites (fractional):
Li  0.0000  0.0000  0.0000
La  0.0000  0.5000  0.5000
Ta  0.5000  0.5000  0.5000
In  0.5000  0.5000  0.0000

crystal system	tetragonal
formation energy from the elements	0.41	eV per atom
M_tot	0.00	μB per formula unit

Entry 23:
The following is a PBE calculation of Nb3RuF after structural relaxation, from Alexandria.

Cell lengths 4.8324, 4.8324, 4.8324 Å; angles 90.00, 90.00, 90.00 degrees
Space group Pm-3m (No. 221)
Symmetry-distinct sites (fractional):
Nb  0.0000  0.0000  0.5000
Ru  0.0000  0.0000  0.0000
F  0.5000  0.5000  0.5000

formation energy from raw total energies	0.959	eV/atom
crystal system	cubic
M_tot	0.00	μB per formula unit

Entry 24:
The following is a PBE calculation of Tb7Tm4In after structural relaxation, from Alexandria.

Cell lengths 6.4781, 6.6603, 8.8776 Å; angles 84.11, 77.15, 81.66 degrees
Space group P-1 (No. 2)
Symmetry-distinct sites (fractional):
Tb  0.0000  0.0000  0.0000
Tb  0.1538  0.6072  0.3180
Tb  0.1943  0.0983  0.3903
Tb  0.4645  0.2534  0.0450
Tm  0.3088  0.7011  0.6557
Tm  0.3676  0.1930  0.7112
In  0.0000  0.5000  0.0000

crystal system	triclinic
formation energy from the elements	-0.02	eV per atom
M_tot	0.00	μB per formula unit

Entry 25:
The following is a PBE calculation of PuThTcOs after structural relaxation, from Alexandria.

Cell lengths 6.9517, 6.9517, 6.9517 Å; angles 90.00, 90.00, 90.00 degrees
Space group F-43m (No. 216)
Symmetry-distinct sites (fractional):
Pu  0.0000  0.0000  0.0000
Th  0.0000  0.0000  0.5000
Tc  0.2500  0.2500  0.2500
Os  0.2500  0.2500  0.7500

crystal system	cubic
formation energy from the elements	0.01	eV per atom
M_tot	4.03	μB per formula unit